Record 1
# Li3CaCl

Li3CaCl after structural relaxation (PBEsol, the Alexandria database).

POSCAR file:
```
Li3CaCl
1.0
-1.385 4.782 -0.210
-3.834 -1.239 -2.932
-2.866 -0.653 4.024
Li Ca Cl
3 1 1
direct
0.500 0.000 0.000 Li
0.000 0.000 0.500 Li
0.000 0.500 0.000 Li
0.500 0.500 0.500 Ca
0.000 0.000 0.000 Cl
```

- ΔE_f (raw): -461 meV per atom
- Magnetization: 0.00 μB/f.u.



Record 2
# LiCa2Cl

LiCa2Cl after structural relaxation (PBEsol, the Alexandria database).

POSCAR file:
```
LiCa2Cl
1.0
-1.277 -2.396 2.259
4.519 -3.406 -1.058
1.169 5.317 3.538
Li Cl Ca
1 1 2
direct
0.201 0.701 0.402 Li
0.504 0.504 0.008 Cl
0.798 0.298 0.596 Ca
0.997 0.997 0.994 Ca
```

- ΔE_f (raw): -647 meV per atom
- Magnetization: 0.00 μB/f.u.